[1]
GGA-PBE Cs3Pu2CuS6, optimized geometry; space-group type = No. 12; crystal system = monoclinic; formation energy without anion corrections = -1340 kJ/mol of formula units; D(E_F) = 13.71 states/eV/cell
1.0
3.391 -6.454 0.000
3.391 6.454 0.000
-2.152 0.000 7.907
Cs Pu Cu S
3 2 1 6
Direct
0.000 0.000 0.000
0.349 0.651 0.000
0.651 0.349 0.000
0.165 0.835 0.500
0.835 0.165 0.500
0.500 0.500 0.500
0.066 0.443 0.308
0.251 0.251 0.646
0.443 0.066 0.308
0.557 0.934 0.692
0.749 0.749 0.354
0.934 0.557 0.692


[2]
GGA-PBE MnAlTc2, optimized geometry; space-group type = No. 71; crystal system = orthorhombic; D(E_F) = 3.92 states/eV/cell; DFT formation energy = -0.14 eV per atom
1.0
-1.521 2.128 4.170
1.521 -2.128 4.170
1.521 2.128 -4.170
Mn Al Tc
1 1 2
Direct
0.000 0.000 0.000
0.500 0.500 0.000
0.242 0.742 0.500
0.758 0.258 0.500


no.,total magnetization (μB/f.u.)
1,8.0
2,0.0